(1)
! Ir4Ru2Rh3, relaxed, DFT PBE-GGA; values from VASP
&SYSTEM
  ibrav = 0, nat = 9, ntyp = 3
/
ATOMIC_SPECIES
Ir 192.22 Ir.upf
Ru 101.07 Ru.upf
Rh 102.91 Rh.upf
CELL_PARAMETERS angstrom
-2.3857 0.3854 1.2783
-2.9328 -5.5524 -3.7996
4.2059 -1.9914 5.5262
ATOMIC_POSITIONS crystal
Ir 0.8169 0.6701 0.6339
Ir 0.4818 0.6701 0.9636
Ir 0.1831 0.3299 0.3661
Ir 0.5182 0.3299 0.0364
Ru 0.6711 0.0036 0.3422
Ru 0.3289 0.9964 0.6578
Rh 0.8521 0.3301 0.7042
Rh 0.1479 0.6699 0.2958
Rh 0.0000 0.0000 0.0000
! - Volume: 14.30 Å³ per atom
! - DFT total energy: -75.96 eV per cell
! - Energy relative to the lowest polymorph listed for this composition: 29.0 meV/atom

***

(2)
! Co2SiCl, relaxed, DFT PBE-GGA; values from VASP
&SYSTEM
  ibrav = 0, nat = 4, ntyp = 3
/
ATOMIC_SPECIES
Co 58.93 Co.upf
Si 28.09 Si.upf
Cl 35.45 Cl.upf
CELL_PARAMETERS angstrom
2.8399 0.0599 0.0000
-0.0543 2.8400 0.0000
0.0000 0.0000 6.3168
ATOMIC_POSITIONS crystal
Co 0.0000 0.0000 0.4522
Co 0.0000 0.0000 0.0478
Si 0.5000 0.5000 0.2500
Cl 0.5000 0.5000 0.7500
! - Volume: 12.74 Å³ per atom
! - DFT total energy: -21.26 eV per cell
! - Raw formation energy: 22 kJ/mol of formula units
! - Energy relative to the lowest polymorph listed for this composition: 184.0 meV/atom

***

(3)
! YCrFe, relaxed, DFT PBE-GGA; values from VASP
&SYSTEM
  ibrav = 0, nat = 3, ntyp = 3
/
ATOMIC_SPECIES
Fe 55.84 Fe.upf
Cr 52.00 Cr.upf
Y 88.91 Y.upf
CELL_PARAMETERS angstrom
-0.9068 -3.3783 -2.6458
0.6010 -4.1103 1.4071
-3.4616 -2.5637 0.8248
ATOMIC_POSITIONS crystal
Fe 0.2500 0.2500 0.2500
Cr 0.5000 0.5000 0.5000
Y 0.0000 0.0000 0.0000
! - Volume: 19.88 Å³ per atom
! - DFT total energy: -22.67 eV per cell
! - Energy relative to the lowest polymorph listed for this composition: 451.1 meV/atom